(1)
# PBE SrLi6Tl2, relaxed
data_SrLi6Tl2
_chemical_formula_sum 'Sr1 Li6 Tl2'
_space_group_name_H-M_alt 'P 4/m m m'
_space_group_IT_number 123
_space_group_name_Hall '-P 4 2'
_cell_length_a 4.689
_cell_length_b 4.689
_cell_length_c 9.803
_cell_angle_alpha 90.00
_cell_angle_beta 90.00
_cell_angle_gamma 90.00
loop_
_atom_site_label
_atom_site_type_symbol
_atom_site_fract_x
_atom_site_fract_y
_atom_site_fract_z
Sr1 Sr 0.000 0.000 0.000
Li1 Li 0.000 0.000 0.500
Li2 Li 0.000 0.500 0.314
Li3 Li 0.500 0.500 0.500
Tl1 Tl 0.500 0.500 0.157
# formation enthalpy at 0 K = -144 meV/atom



(2)
# PBE CsCaPdN2, relaxed
data_CsCaPdN2
_chemical_formula_sum 'Cs1 Ca1 Pd1 N2'
_space_group_name_H-M_alt 'P 4/m m m'
_space_group_IT_number 123
_space_group_name_Hall '-P 4 2'
_cell_length_a 4.531
_cell_length_b 4.531
_cell_length_c 5.223
_cell_angle_alpha 90.00
_cell_angle_beta 90.00
_cell_angle_gamma 90.00
loop_
_atom_site_label
_atom_site_type_symbol
_atom_site_fract_x
_atom_site_fract_y
_atom_site_fract_z
Cs1 Cs 0.000 0.000 0.000
Ca1 Ca 0.500 0.500 0.500
Pd1 Pd 0.000 0.000 0.500
N1 N 0.000 0.500 0.000
# formation energy without anion corrections = 9.0 eV per formula unit



(3)
# PBE Be2TlCd, relaxed
data_Be2TlCd
_chemical_formula_sum 'Be2 Tl1 Cd1'
_space_group_name_H-M_alt 'P 4 m m'
_space_group_IT_number 99
_cell_length_a 2.899
_cell_length_b 2.899
_cell_length_c 8.683
_cell_angle_alpha 90.00
_cell_angle_beta 90.00
_cell_angle_gamma 90.00
loop_
_space_group_symop_operation_xyz
'x,y,z'
'-y,x,z'
'-x,-y,z'
'y,-x,z'
'-x,y,z'
'y,x,z'
'x,-y,z'
'-y,-x,z'
loop_
_atom_site_label
_atom_site_type_symbol
_atom_site_fract_x
_atom_site_fract_y
_atom_site_fract_z
Be1 Be 0.000 0.000 0.000
Be2 Be 0.500 0.500 0.107
Tl1 Tl 0.500 0.500 0.714
Cd1 Cd 0.000 0.000 0.340
# formation enthalpy at 0 K = 495 meV/atom
# energy relative to the lowest polymorph listed for this composition = 30.3 meV/atom



(4)
# PBE U3Si4Ni4, relaxed
data_U3Si4Ni4
_chemical_formula_sum 'U6 Si8 Ni8'
_space_group_name_H-M_alt 'I m m m'
_space_group_IT_number 71
_space_group_name_Hall '-I 2 2'
_cell_length_a 3.853
_cell_length_b 3.942
_cell_length_c 23.516
_cell_angle_alpha 90.00
_cell_angle_beta 90.00
_cell_angle_gamma 90.00
loop_
_atom_site_label
_atom_site_type_symbol
_atom_site_fract_x
_atom_site_fract_y
_atom_site_fract_z
U1 U 0.000 0.000 0.000
U2 U 0.000 0.500 0.147
Si1 Si 0.000 0.000 0.450
Si2 Si 0.000 0.500 0.304
Ni1 Ni 0.000 0.000 0.250
Ni2 Ni 0.000 0.500 0.402
# formation energy without anion corrections = -5.5 eV per formula unit



Looking at total DFT energy (no corrections) for the records above, in order, we have -19.2; -15.7; -8.8; -168.3 eV for the cell shown.